First-principles (GGA-PBE) data for a geometry-optimized SrLa2Se structure, as listed in Alexandria via LeMat-Bulk.

a b c (Å): 4.314 6.488 10.779
angles (deg): 90.00 90.00 90.00
Space group Cmmm (No. 65)
Asymmetric unit:
Sr (0.000, 0.000, 0.000) x2
La (0.000, 0.500, 0.309) x4
Se (0.000, 0.000, 0.500) x2

## Properties
- ρ (g cm⁻³) = 4.891
- magnetic moment (μB/f.u.) = 0.00
- formation energy from raw total energies (kJ/mol of atoms) = -65.54